VASP calculation (PBE-GGA) on a geometry-optimized ZnGeO3 structure.

Output
**Crystal system**: trigonal
**Symmetry**: No. 148
**E_form (uncorrected)**: -1.54 eV/atom

a b c (Å): 5.523 5.523 5.523
angles (deg): 54.35 54.35 54.35
Element x y z (fractional)
O 0.214 0.561 0.954
O 0.046 0.786 0.439
Zn 0.632 0.632 0.632
O 0.561 0.954 0.214
O 0.439 0.046 0.786
Ge 0.156 0.156 0.156
O 0.786 0.439 0.046
Ge 0.844 0.844 0.844
O 0.954 0.214 0.561
Zn 0.368 0.368 0.368



VASP calculation (PBE-GGA) on a geometry-optimized Se2NCl structure.

Output
**Crystal system**: trigonal
**Symmetry**: No. 166
**E_form (uncorrected)**: 0.44 eV/atom
**Excess energy over the best structure of this formula in the dataset**: 0.0000 eV/atom

a b c (Å): 7.798 7.798 7.798
angles (deg): 31.86 31.86 31.86
Element x y z (fractional)
N 0.000 0.000 0.000
Cl 0.500 0.500 0.500
Se 0.076 0.076 0.076
Se 0.924 0.924 0.924



VASP calculation (PBE-GGA) on a geometry-optimized PuSb2Pd3 structure.

Output
**Crystal system**: monoclinic
**Symmetry**: No. 12
**E_form (uncorrected)**: -0.56 eV/atom
**Excess energy over the best structure of this formula in the dataset**: 0.0000 eV/atom

a b c (Å): 4.501 9.339 6.940
angles (deg): 118.75 90.00 103.94
Element x y z (fractional)
Pu 0.882 0.764 0.918
Pd 0.310 0.620 0.533
Pu 0.118 0.236 0.082
Pd 0.072 0.143 0.469
Pd 0.357 0.714 0.208
Pd 0.643 0.286 0.792
Sb 0.514 0.028 0.246
Pd 0.690 0.380 0.467
Sb 0.486 0.972 0.754
Sb 0.233 0.466 0.773
Sb 0.767 0.534 0.227
Pd 0.928 0.857 0.531



VASP calculation (PBE-GGA) on a geometry-optimized Ir2Pb3 structure.

Output
**Energy of formation from the pure elements**: 0.30 eV per atom
**Crystal system**: trigonal
**Symmetry**: No. 164

a b c (Å): 4.734 4.734 5.882
angles (deg): 90.00 90.00 120.00
Element x y z (fractional)
Pb 0.667 0.333 0.657
Ir 0.667 0.333 0.169
Pb 0.000 0.000 0.000
Pb 0.333 0.667 0.343
Ir 0.333 0.667 0.831



VASP calculation (PBE-GGA) on a geometry-optimized CaSmGaAu structure.

Output
**Energy of formation from the pure elements**: -0.65 eV per atom
**Crystal system**: cubic
**Symmetry**: No. 216
**Excess energy over the best structure of this formula in the dataset**: 0.0027 eV/atom

a b c (Å): 5.171 5.171 5.171
angles (deg): 60.00 60.00 60.00
Element x y z (fractional)
Ca 0.500 0.500 0.500
Ga 0.750 0.750 0.750
Au 0.250 0.250 0.250
Sm 0.000 0.000 0.000



VASP calculation (PBE-GGA) on a geometry-optimized Zr2ZnHRh structure.

Output
**Crystal system**: tetragonal
**Symmetry**: No. 123
**Excess energy over the best structure of this formula in the dataset**: 0.0000 eV/atom

a b c (Å): 4.540 4.540 3.681
angles (deg): 90.00 90.00 90.00
Element x y z (fractional)
Rh 0.000 0.000 0.500
Zr 0.500 0.000 0.000
Zr 0.000 0.500 0.000
Zn 0.500 0.500 0.500
H 0.000 0.000 0.000



What did the sixth record say?
VASP calculation (PBE-GGA) on a geometry-optimized Zr2ZnHRh structure.

Output
**Crystal system**: tetragonal
**Symmetry**: No. 123
**Excess energy over the best structure of this formula in the dataset**: 0.0000 eV/atom

a b c (Å): 4.540 4.540 3.681
angles (deg): 90.00 90.00 90.00
Element x y z (fractional)
Rh 0.000 0.000 0.500
Zr 0.500 0.000 0.000
Zr 0.000 0.500 0.000
Zn 0.500 0.500 0.500
H 0.000 0.000 0.000



Please write out number 6 again, unchanged.
VASP calculation (PBE-GGA) on a geometry-optimized Zr2ZnHRh structure.

Output
**Crystal system**: tetragonal
**Symmetry**: No. 123
**Excess energy over the best structure of this formula in the dataset**: 0.0000 eV/atom

a b c (Å): 4.540 4.540 3.681
angles (deg): 90.00 90.00 90.00
Element x y z (fractional)
Rh 0.000 0.000 0.500
Zr 0.500 0.000 0.000
Zr 0.000 0.500 0.000
Zn 0.500 0.500 0.500
H 0.000 0.000 0.000